[1]
Density functional theory data (PBE) for crystalline Ta2H2Rh at its relaxed geometry.

## Properties
As for the energy above the most stable polymorph in this dataset: 0.000 eV per atom.

Lattice parameters (Å, degrees): 6.7292 6.7292 6.7292 154.83 154.83 35.89
Last column: nearest neighbours and their distance in Å.
Atoms (fractional coordinates):
Ta (0.1474, 0.1474, 0.0000)  4 H 1.97
Ta (0.8526, 0.8526, 0.0000)  4 H 1.97
H (0.2500, 0.7500, 0.5000)  4 Ta 1.97, 4 H 2.07
H (0.7500, 0.2500, 0.5000)  4 Ta 1.97, 4 H 2.07
Rh (0.5000, 0.5000, 0.0000)  8 Ta 2.80, 4 Rh 2.93



[2]
Density functional theory data (PBE) for crystalline TaHRh3 at its relaxed geometry.

## Properties
As for the energy above the most stable polymorph in this dataset: 0.000 eV per atom.

Lattice parameters (Å, degrees): 3.9472 3.9472 3.9472 90.00 90.00 90.00
Last column: nearest neighbours and their distance in Å.
Atoms (fractional coordinates):
Ta (0.0000, 0.0000, 0.0000)  12 Rh 2.79
H (0.5000, 0.5000, 0.5000)  6 Rh 1.97
Rh (0.0000, 0.5000, 0.5000)  2 H 1.97
Rh (0.5000, 0.0000, 0.5000)  2 H 1.97
Rh (0.5000, 0.5000, 0.0000)  2 H 1.97



[3]
Density functional theory data (PBE) for crystalline TaHRh at its relaxed geometry.

## Properties
As for the energy above the most stable polymorph in this dataset: 0.037 eV per atom.

Lattice parameters (Å, degrees): 2.9486 2.9486 4.5769 90.00 90.00 120.00
Last column: nearest neighbours and their distance in Å.
Atoms (fractional coordinates):
Ta (0.0000, 0.0000, 0.0000)  3 H 1.99
H (0.6667, 0.3333, 0.2231)  3 Ta 1.99
Rh (0.3333, 0.6667, 0.5358)  3 H 2.22



[4]
Density functional theory data (PBE) for crystalline TaHRh3 at its relaxed geometry.

## Properties
As for the energy above the most stable polymorph in this dataset: 0.412 eV per atom.

Lattice parameters (Å, degrees): 2.9811 2.9811 17.2169 90.00 90.00 120.00
Last column: nearest neighbours and their distance in Å.
Atoms (fractional coordinates):
Ta (0.0000, 0.0000, 0.0000)  6 Rh 2.65
Ta (0.0000, 0.0000, 0.5000)  6 Rh 2.65
H (0.3333, 0.6667, 0.2500)  3 Rh 1.72
H (0.6667, 0.3333, 0.7500)  3 Rh 1.72
Rh (0.0000, 0.0000, 0.2500)  3 H 1.72
Rh (0.0000, 0.0000, 0.7500)  3 H 1.72
Rh (0.3333, 0.6667, 0.1170)  1 H 2.29
Rh (0.3333, 0.6667, 0.3830)  1 H 2.29
Rh (0.6667, 0.3333, 0.6170)  1 H 2.29
Rh (0.6667, 0.3333, 0.8830)  1 H 2.29



[5]
Density functional theory data (PBE) for crystalline TaH4Rh at its relaxed geometry.

## Properties
The value obtained for the total energy is -5.489 eV/atom.

Lattice parameters (Å, degrees): 4.2026 3.7324 6.6446 90.00 108.38 90.00
Last column: nearest neighbours and their distance in Å.
Atoms (fractional coordinates):
Ta (0.0913, 0.2500, 0.1826)  4 H 1.84
Ta (0.9087, 0.7500, 0.8174)  4 H 1.84
H (0.2612, 0.0000, 0.9998)  2 Ta 1.84, 5 H 1.87-2.01
H (0.2612, 0.5000, 0.9998)  2 Ta 1.84, 5 H 1.87-2.01
H (0.2688, 0.2500, 0.5262)  2 Rh 1.87
H (0.3977, 0.7500, 0.7944)  1 Rh 1.74, 4 H 1.89
H (0.6023, 0.2500, 0.2056)  1 Rh 1.74, 4 H 1.89
H (0.7312, 0.7500, 0.4738)  2 Rh 1.87
H (0.7388, 0.0000, 0.0002)  2 Ta 1.84, 5 H 1.87-2.01
H (0.7388, 0.5000, 0.0002)  2 Ta 1.84, 5 H 1.87-2.01
Rh (0.2589, 0.7500, 0.5181)  3 H 1.74-1.87
Rh (0.7411, 0.2500, 0.4819)  3 H 1.74-1.87



[6]
Density functional theory data (PBE) for crystalline TaHRh3 at its relaxed geometry.

## Properties
As for the energy above the most stable polymorph in this dataset: 0.288 eV per atom.

Lattice parameters (Å, degrees): 7.0005 7.0005 5.5547 107.06 107.06 32.12
Last column: nearest neighbours and their distance in Å.
Atoms (fractional coordinates):
Ta (0.1004, 0.1004, 0.2613)  7 Rh 2.49-2.77
Ta (0.8996, 0.8996, 0.7387)  7 Rh 2.49-2.77
H (0.4178, 0.4178, 0.2432)  4 Rh 1.92-1.95
H (0.5822, 0.5822, 0.7568)  4 Rh 1.92-1.95
Rh (0.0861, 0.0861, 0.7535)  2 H 1.94
Rh (0.3127, 0.3127, 0.4191)  1 H 1.95
Rh (0.3156, 0.3156, 0.9156)  1 H 1.92
Rh (0.6844, 0.6844, 0.0844)  1 H 1.92
Rh (0.6873, 0.6873, 0.5809)  1 H 1.95
Rh (0.9139, 0.9139, 0.2465)  2 H 1.94